[1]
A relaxed structure of LiZr2W. Source: Alexandria via LeMat-Bulk, functional PBE.

Lattice parameters (Å, degrees): 4.720 4.720 3.374 90.00 90.00 90.00
Positions (direct):
Li 0.000 0.000 0.000
Zr 0.000 0.500 0.500
Zr 0.500 0.000 0.500
W 0.500 0.500 0.000

Computed properties:
- E_form: 21.0 kJ/mol of atoms
- Space group: P4/mmm, No. 123


[2]
A relaxed structure of PuZrNpRh. Source: Alexandria via LeMat-Bulk, functional PBE.

Lattice parameters (Å, degrees): 4.838 4.838 4.838 60.00 60.00 60.00
Positions (direct):
Pu 0.000 0.000 0.000
Zr 0.500 0.500 0.500
Np 0.250 0.250 0.250
Rh 0.750 0.750 0.750

Computed properties:
- E_form: 0.9 kJ/mol of atoms
- Space group: F-43m, No. 216


[3]
A relaxed structure of Nd2ZrN3. Source: Alexandria via LeMat-Bulk, functional PBE.

Lattice parameters (Å, degrees): 7.858 7.858 7.858 154.01 154.01 37.09
Positions (direct):
Nd 0.162 0.162 0.000
Nd 0.838 0.838 0.000
Zr 0.500 0.500 0.000
N 0.000 0.000 0.000
N 0.349 0.349 0.000
N 0.651 0.651 0.000

Computed properties:
- Space group: I4/mmm, No. 139
- Formation energy (no corrections): -813.2 kJ/mol of formula units


[4]
A relaxed structure of TaTlCd. Source: Alexandria via LeMat-Bulk, functional PBE.

Lattice parameters (Å, degrees): 4.747 4.747 4.747 60.00 60.00 60.00
Positions (direct):
Ta 0.000 0.000 0.000
Tl 0.750 0.750 0.750
Cd 0.250 0.250 0.250

Computed properties:
- E_form: 95.5 kJ/mol of atoms
- Energy above the most stable polymorph in this dataset: 0.528 eV per atom
- Space group: F-43m, No. 216


[5]
A relaxed structure of Ce2PrSm3N6. Source: Alexandria via LeMat-Bulk, functional PBE.

Lattice parameters (Å, degrees): 6.228 6.228 6.218 99.62 99.62 120.01
Positions (direct):
Ce 0.167 0.833 0.000
Ce 0.833 0.167 0.000
Pr 0.500 0.500 0.000
Sm 0.000 0.000 0.500
Sm 0.333 0.667 0.500
Sm 0.667 0.333 0.500
N 0.073 0.418 0.755
N 0.236 0.236 0.245
N 0.418 0.073 0.755
N 0.582 0.927 0.245
N 0.764 0.764 0.755
N 0.927 0.582 0.245

Computed properties:
- Space group: C2/m, No. 12
- Formation energy (no corrections): -1708.5 kJ/mol of formula units


[6]
A relaxed structure of CeRh3Pb. Source: Alexandria via LeMat-Bulk, functional PBE.

Lattice parameters (Å, degrees): 7.409 7.409 8.730 90.00 90.00 68.99
Positions (direct):
Ce 0.025 0.975 0.750
Ce 0.447 0.553 0.750
Ce 0.553 0.447 0.250
Ce 0.975 0.025 0.250
Rh 0.153 0.616 0.250
Rh 0.195 0.805 0.520
Rh 0.195 0.805 0.980
Rh 0.384 0.847 0.250
Rh 0.386 0.386 0.000
Rh 0.386 0.386 0.500
Rh 0.614 0.614 0.000
Rh 0.614 0.614 0.500
Rh 0.616 0.153 0.750
Rh 0.805 0.195 0.020
Rh 0.805 0.195 0.480
Rh 0.847 0.384 0.750
Pb 0.000 0.500 0.000
Pb 0.000 0.500 0.500
Pb 0.500 0.000 0.000
Pb 0.500 0.000 0.500

Computed properties:
- E_form: -29.4 kJ/mol of atoms
- Space group: Cmcm, No. 63


E_tot across the listed records, respectively: -7.77; -10.78; -8.58; -4.05; -8.21; -6.64 eV/atom.
Total moment across the listed records, respectively: 0.00; 8.77; 0.00; 0.00; 0.00; 0.00 μB per cell.